# 1
Here is an optimized crystal structure of Cs2TbPuSe4 from Alexandria via LeMat-Bulk. Energies are from PBE.

a b c (Å): 7.500 4.317 8.717
angles (deg): 90.00 106.62 90.00
Sites, in units of the cell vectors:
Cs: 0.000 0.000 0.000
Cs: 0.500 0.500 0.000
Tb: 0.000 0.500 0.500
Pu: 0.500 0.000 0.500
Se: 0.225 0.000 0.686
Se: 0.270 0.500 0.316
Se: 0.730 0.500 0.684
Se: 0.775 0.000 0.314

## Properties
The calculation puts the energy relative to the elements, uncorrected at -36.26 kcal/mol of atoms.

=====

# 2
Here is an optimized crystal structure of K3Np2SnTe6 from Alexandria via LeMat-Bulk. Energies are from PBE.

a b c (Å): 7.981 7.981 8.543
angles (deg): 98.95 98.95 119.99
Sites, in units of the cell vectors:
K: 0.000 0.000 0.000
K: 0.338 0.662 0.000
K: 0.662 0.338 0.000
Np: 0.167 0.833 0.500
Np: 0.833 0.167 0.500
Sn: 0.500 0.500 0.500
Te: 0.086 0.430 0.292
Te: 0.225 0.225 0.707
Te: 0.430 0.086 0.292
Te: 0.570 0.914 0.708
Te: 0.775 0.775 0.293
Te: 0.914 0.570 0.708

## Properties
The calculation puts the energy relative to the elements, uncorrected at -18.94 kcal/mol of atoms.

=====

# 3
Here is an optimized crystal structure of Na2Pm2AsO6 from Alexandria via LeMat-Bulk. Energies are from PBE.

a b c (Å): 5.926 5.926 5.887
angles (deg): 96.64 96.64 119.87
Sites, in units of the cell vectors:
Na: 0.139 0.861 0.000
Na: 0.861 0.139 0.000
Pm: 0.336 0.664 0.500
Pm: 0.664 0.336 0.500
As: 0.000 0.000 0.500
O: 0.037 0.340 0.691
O: 0.235 0.235 0.303
O: 0.340 0.037 0.691
O: 0.660 0.963 0.309
O: 0.765 0.765 0.697
O: 0.963 0.660 0.309

## Properties
The calculation puts the energy relative to the elements, uncorrected at -49.39 kcal/mol of atoms.

=====

# 4
Here is an optimized crystal structure of BaYOs2 from Alexandria via LeMat-Bulk. Energies are from PBE.

a b c (Å): 3.520 5.184 9.530
angles (deg): 90.00 90.00 90.00
Sites, in units of the cell vectors:
Ba: 0.000 0.000 0.000
Ba: 0.500 0.500 0.000
Y: 0.000 0.000 0.500
Y: 0.500 0.500 0.500
Os: 0.000 0.500 0.271
Os: 0.000 0.500 0.729
Os: 0.500 0.000 0.271
Os: 0.500 0.000 0.729

## Properties
The calculation puts the energy above the lowest structure with this stoichiometry at 780.2 meV per atom. The calculated formation energy is 85.3 kJ/mol of atoms.

=====

| no. | DOS(E_F) (states/eV per cell) | size of the total moment (μB/f.u.) |
| --- | --- | --- |
| 1 | 12.30 | 5.00 |
| 2 | 15.94 | 7.00 |
| 3 | 5.31 | 0.00 |
| 4 | 6.93 | 0.00 |